(1)
VASP calculation (PBE-GGA) on KMgMn2 after structural relaxation.

Summary:
Its space group is Cm, No. 8. The total energy is -4.67 eV/atom. The value obtained for the formation energy is 0.59 eV per atom.

Cell lengths 4.326, 4.326, 8.150 Å; angles 94.49, 94.49, 40.41 degrees
Positions (direct):
K 0.000 0.000 0.000
Mg 0.778 0.778 0.378
Mn 0.236 0.236 0.668
Mn 0.512 0.512 0.590



(2)
VASP calculation (PBE-GGA) on K2MgMn after structural relaxation.

Summary:
Its space group is Cmmm, No. 65. The total energy is -2.53 eV/atom. The value obtained for the formation energy is 0.71 eV per atom.

Cell lengths 3.678, 3.678, 11.142 Å; angles 90.00, 90.00, 90.44 degrees
Positions (direct):
K 0.000 0.000 0.239
K 0.000 0.000 0.761
Mg 0.500 0.500 0.500
Mn 0.500 0.500 0.000



(3)
VASP calculation (PBE-GGA) on KMgMn2 after structural relaxation.

Summary:
Its space group is Imm2, No. 44. The total energy is -4.46 eV/atom. The value obtained for the formation energy is 0.80 eV per atom.

Cell lengths 6.461, 6.461, 6.461 Å; angles 153.35, 128.34, 59.07 degrees
Positions (direct):
K 0.000 0.000 0.000
Mg 0.294 0.794 0.500
Mn 0.523 0.523 0.000
Mn 0.716 0.216 0.500



(4)
VASP calculation (PBE-GGA) on KMgMn2 after structural relaxation.

Summary:
Its space group is P4mm, No. 99. The total energy is -4.78 eV/atom. The value obtained for the formation energy is 0.48 eV per atom.

Cell lengths 3.208, 3.208, 8.907 Å; angles 90.00, 90.00, 90.00 degrees
Positions (direct):
K 0.000 0.000 0.000
Mg 0.500 0.500 0.363
Mn 0.000 0.000 0.574
Mn 0.500 0.500 0.683



(5)
VASP calculation (PBE-GGA) on K2MgMn after structural relaxation.

Summary:
Its space group is P4mm, No. 99. The total energy is -2.76 eV/atom. The value obtained for the formation energy is 0.48 eV per atom.

Cell lengths 3.848, 3.848, 10.402 Å; angles 90.00, 90.00, 90.00 degrees
Positions (direct):
K 0.000 0.000 0.000
K 0.500 0.500 0.388
Mg 0.000 0.000 0.654
Mn 0.500 0.500 0.740



(6)
VASP calculation (PBE-GGA) on KMgMn2N after structural relaxation.

Summary:
Its space group is P4/mmm, No. 123. The calculation puts the formation energy from raw total energies at 9.7 eV per formula unit. The total energy is -3.94 eV/atom.

Cell lengths 5.085, 5.085, 6.793 Å; angles 90.00, 90.00, 90.00 degrees
Positions (direct):
K 0.000 0.000 0.000
Mg 0.000 0.000 0.500
Mn 0.000 0.500 0.500
Mn 0.500 0.000 0.500
N 0.500 0.500 0.000



(7)
VASP calculation (PBE-GGA) on K2MgMnNi after structural relaxation.

Summary:
Its space group is P4/mmm, No. 123. The total energy is -2.71 eV/atom. The value obtained for the formation energy is 1.04 eV per atom.

Cell lengths 6.511, 6.511, 4.698 Å; angles 90.00, 90.00, 90.00 degrees
Positions (direct):
K 0.000 0.500 0.000
K 0.500 0.000 0.000
Mg 0.000 0.000 0.000
Mn 0.500 0.500 0.500
Ni 0.000 0.000 0.500



(8)
VASP calculation (PBE-GGA) on K2MgMnNi after structural relaxation.

Summary:
Its space group is P4/mmm, No. 123. The total energy is -3.03 eV/atom. The value obtained for the formation energy is 0.72 eV per atom.

Cell lengths 6.193, 6.193, 4.652 Å; angles 90.00, 90.00, 90.00 degrees
Positions (direct):
K 0.000 0.500 0.000
K 0.500 0.000 0.000
Mg 0.000 0.000 0.500
Mn 0.500 0.500 0.500
Ni 0.500 0.500 0.000